Below is a relaxed Y6Tm3Tl crystal, with properties calculated at the PBE level.

Lattice parameters (Å, degrees): 6.1553 10.8451 10.8451 119.93 90.00 90.00
Fractional coordinates of all 20 atoms:
Y: 0.4385 0.9454 0.0546
Y: 0.0337 0.3863 0.2886
Tl: 0.6432 0.7920 0.2080
Tm: 0.4661 0.9442 0.7317
Y: 0.3367 0.5119 0.9411
Y: 0.9385 0.0546 0.9454
Tm: 0.4661 0.2683 0.0558
Y: 0.6754 0.2665 0.7335
Y: 0.5337 0.2886 0.3863
Tm: 0.0554 0.3914 0.6086
Tm: 0.9661 0.7317 0.9442
Y: 0.1754 0.7335 0.2665
Tm: 0.5554 0.6086 0.3914
Y: 0.5337 0.6137 0.7114
Y: 0.8367 0.4881 0.0589
Tl: 0.1432 0.2080 0.7920
Y: 0.0337 0.7114 0.6137
Y: 0.3367 0.0589 0.4881
Y: 0.8367 0.9411 0.5119
Tm: 0.9661 0.0558 0.2683

Polymorph energy (0 for the lowest one), eV per atom: 0.0867
Uncorrected energy, eV per atom: -5.4293
Formation energy from the elements, eV per atom: 0.03
Total magnetization, μB per formula unit: 0.00